1.
Below is a relaxed CaHfAl4 crystal, with properties calculated at the PBE-GGA level.

Cell: 5.4463 5.4463 5.4463 Å, 60.00 60.00 60.00°
With the nearest neighbours (Å) after each atom.
Fractional coordinates of all 6 atoms:
Ca (0.0000, 0.0000, 0.0000)  12 Al 3.19, 4 Hf 3.34
Hf (0.2500, 0.2500, 0.2500)  12 Al 3.19, 4 Ca 3.34
Al (0.1265, 0.6245, 0.6245)  6 Al 2.71-2.73
Al (0.6245, 0.1265, 0.6245)  6 Al 2.71-2.73
Al (0.6245, 0.6245, 0.1265)  6 Al 2.71-2.73
Al (0.6245, 0.6245, 0.6245)  6 Al 2.71-2.73

Output
crystal system	cubic
total DFT energy (no corrections)	-28.64	eV per formula unit

2.
Below is a relaxed Ca2HfAl2 crystal, with properties calculated at the PBE-GGA level.

Cell: 7.3499 7.3499 4.8916 Å, 90.00 90.00 90.00°
With the nearest neighbours (Å) after each atom.
Fractional coordinates of all 10 atoms:
Ca (0.1746, 0.3253, 0.0000)  6 Al 3.18-3.33
Ca (0.3253, 0.8254, 0.0000)  6 Al 3.18-3.33
Ca (0.6746, 0.1746, 0.0000)  6 Al 3.18-3.33
Ca (0.8254, 0.6746, 0.0000)  6 Al 3.18-3.33
Hf (0.0000, 0.0000, 0.5000)  4 Al 2.88
Hf (0.5000, 0.5000, 0.5000)  4 Al 2.88
Al (0.1296, 0.6296, 0.5000)  1 Al 2.69, 2 Hf 2.88
Al (0.3704, 0.1296, 0.5000)  1 Al 2.69, 2 Hf 2.88
Al (0.6296, 0.8704, 0.5000)  1 Al 2.69, 2 Hf 2.88
Al (0.8704, 0.3704, 0.5000)  1 Al 2.69, 2 Hf 2.88

Output
crystal system	tetragonal
total DFT energy (no corrections)	-21.14	eV per formula unit

Formation energy from the elements
In order: -0.285 0.060
Unit: eV/atom